(1)
{"formula": "Sc3AuC", "functional": "SCAN", "state": "single point on PBEsol structure", "de_polymorph_mev_per_atom": 0, "final_energy_ev_per_atom": -25.256, "formation_energy_ev_per_atom": -0.86, "magnetic_moment_mub_per_fu": 0.00, "lattice": [[-2.971, 5.425, -0.928], [2.267, -3.149, -4.906], [-3.279, -4.994, 1.851]], "species": ["Sc", "Sc", "Sc", "Sc", "Sc", "Sc", "C", "C", "Au", "Au"], "fractional_positions": [[0.000, 0.790, 0.290], [0.500, 0.790, 0.790], [0.500, 0.210, 0.210], [0.000, 0.210, 0.710], [0.423, 0.673, 0.250], [0.577, 0.327, 0.750], [0.500, 0.500, 0.000], [0.500, 0.000, 0.500], [0.990, 0.240, 0.250], [0.010, 0.760, 0.750]]}



(2)
{"formula": "Sc3AuC", "functional": "SCAN", "state": "single point on PBEsol structure", "de_polymorph_mev_per_atom": 52, "final_energy_ev_per_atom": -25.204, "formation_energy_ev_per_atom": -0.81, "magnetic_moment_mub_per_fu": 1.05, "lattice": [[-2.967, -0.433, 3.274], [2.695, -2.860, 2.065], [1.908, 3.368, 2.174]], "species": ["Sc", "Sc", "Sc", "C", "Au"], "fractional_positions": [[0.000, 0.500, 0.000], [0.000, 0.000, 0.500], [0.500, 0.000, 0.000], [0.000, 0.000, 0.000], [0.500, 0.500, 0.500]]}



(3)
{"formula": "Au2CSe", "functional": "SCAN", "state": "single point on PBEsol structure", "final_energy_ev_per_atom": -41.196, "formation_energy_uncorrected_ev_per_atom": 0.927, "magnetic_moment_mub_per_fu": 0.00, "lattice": [[-3.599, -2.294, 2.209], [2.149, -4.209, -0.870], [3.796, 3.691, 4.791]], "species": ["C", "C", "Au", "Au", "Au", "Au", "Se", "Se"], "fractional_positions": [[0.750, 0.250, 0.500], [0.500, 0.500, 0.000], [0.482, 0.875, 0.250], [0.768, 0.375, 0.250], [0.125, 0.232, 0.750], [0.625, 0.518, 0.750], [0.250, 0.750, 0.500], [0.000, 0.000, 0.000]]}



(4)
{"formula": "SrAuCSe2", "functional": "SCAN", "state": "single point on PBEsol structure", "final_energy_ev_per_atom": -28.359, "formation_energy_uncorrected_ev_per_atom": -0.021, "magnetic_moment_mub_per_fu": 0.00, "lattice": [[-3.792, -0.588, -0.486], [0.716, -5.245, 0.761], [-0.774, 0.656, 5.251]], "species": ["Sr", "C", "Au", "Se", "Se"], "fractional_positions": [[0.500, 0.500, 0.500], [0.500, 0.000, 0.000], [0.000, 0.000, 0.000], [0.000, 0.000, 0.500], [0.000, 0.500, 0.000]]}



(5)
{"formula": "SiAu2C2", "functional": "SCAN", "state": "single point on PBEsol structure", "final_energy_ev_per_atom": -31.628, "formation_energy_uncorrected_ev_per_atom": 2.077, "magnetic_moment_mub_per_fu": 0.00, "lattice": [[-1.823, 0.352, 2.015], [-5.075, -1.949, -4.250], [0.887, -6.559, 1.948]], "species": ["Si", "Si", "Au", "Au", "Au", "Au", "C", "C", "C", "C"], "fractional_positions": [[0.000, 0.000, 0.000], [0.000, 0.500, 0.500], [0.000, 0.341, 0.841], [0.000, 0.841, 0.659], [0.000, 0.659, 0.159], [0.000, 0.159, 0.341], [0.500, 0.143, 0.643], [0.500, 0.643, 0.857], [0.500, 0.857, 0.357], [0.500, 0.357, 0.143]]}



(6)
{"formula": "Si3AuC", "functional": "SCAN", "state": "single point on PBEsol structure", "final_energy_ev_per_atom": -19.626, "formation_energy_uncorrected_ev_per_atom": 2.235, "magnetic_moment_mub_per_fu": 0.34, "lattice": [[-4.450, 0.639, -1.407], [0.455, -3.557, -3.055], [-1.477, -3.021, 3.298]], "species": ["Si", "Si", "Si", "Au", "C"], "fractional_positions": [[0.000, 0.500, 0.000], [0.000, 0.000, 0.500], [0.500, 0.000, 0.000], [0.000, 0.000, 0.000], [0.500, 0.500, 0.500]]}



(7)
{"formula": "SnAu3C", "functional": "SCAN", "state": "single point on PBEsol structure", "final_energy_ev_per_atom": -49.969, "formation_energy_ev_per_atom": 0.73, "magnetic_moment_mub_per_fu": 0.00, "lattice": [[4.403, 0.000, 0.000], [0.000, 4.403, 0.000], [0.000, 0.000, 4.403]], "species": ["C", "Au", "Au", "Au", "Sn"], "fractional_positions": [[0.000, 0.000, 0.000], [0.000, 0.500, 0.000], [0.000, 0.000, 0.500], [0.500, 0.000, 0.000], [0.500, 0.500, 0.500]]}



(8)
{"formula": "SnAuC2", "functional": "SCAN", "state": "single point on PBEsol structure", "final_energy_ev_per_atom": -29.825, "formation_energy_ev_per_atom": 1.49, "magnetic_moment_mub_per_fu": 0.00, "lattice": [[4.839, 0.000, 0.000], [0.000, 4.839, 0.000], [-2.420, -2.420, 5.195]], "species": ["C", "C", "C", "C", "Au", "Au", "Sn", "Sn"], "fractional_positions": [[0.890, 0.375, 0.250], [0.360, 0.875, 0.250], [0.625, 0.640, 0.750], [0.125, 0.110, 0.750], [0.250, 0.750, 0.500], [0.000, 0.000, 0.000], [0.750, 0.250, 0.500], [0.500, 0.500, 0.000]]}



(9)
{"formula": "Ta3AuC", "functional": "SCAN", "state": "single point on PBEsol structure", "final_energy_ev_per_atom": -56.059, "formation_energy_ev_per_atom": -0.26, "magnetic_moment_mub_per_fu": 0.00, "lattice": [[4.242, 0.000, 0.000], [0.000, 4.242, 0.000], [0.000, 0.000, 4.242]], "species": ["C", "Au", "Ta", "Ta", "Ta"], "fractional_positions": [[0.000, 0.000, 0.000], [0.500, 0.500, 0.500], [0.000, 0.500, 0.000], [0.000, 0.000, 0.500], [0.500, 0.000, 0.000]]}



(10)
{"formula": "Te3AuC", "functional": "SCAN", "state": "single point on PBEsol structure", "final_energy_ev_per_atom": -37.033, "formation_energy_uncorrected_ev_per_atom": 1.169, "magnetic_moment_mub_per_fu": 0.00, "lattice": [[-3.001, 0.702, -3.578], [-1.584, -4.424, 0.461], [-3.284, 1.493, 3.047]], "species": ["C", "Te", "Te", "Te", "Au"], "fractional_positions": [[0.000, 0.000, 0.000], [0.000, 0.500, 0.000], [0.000, 0.000, 0.500], [0.500, 0.000, 0.000], [0.500, 0.500, 0.500]]}



(11)
{"formula": "YTlAuC2", "functional": "SCAN", "state": "single point on PBEsol structure", "final_energy_ev_per_atom": -35.771, "formation_energy_ev_per_atom": 2.14, "magnetic_moment_mub_per_fu": 2.16, "lattice": [[4.256, 0.000, 0.000], [0.000, 4.256, 0.000], [0.000, 0.000, 5.980]], "species": ["Y", "Tl", "Au", "C", "C"], "fractional_positions": [[0.000, 0.000, 0.500], [0.000, 0.000, 0.000], [0.500, 0.500, 0.500], [0.000, 0.500, 0.000], [0.500, 0.000, 0.000]]}



(12)
{"formula": "WAuC2", "functional": "SCAN", "state": "single point on PBEsol structure", "final_energy_ev_per_atom": -37.780, "formation_energy_ev_per_atom": 1.98, "magnetic_moment_mub_per_fu": 0.00, "lattice": [[-2.862, -1.671, -2.104], [-2.832, -2.032, 1.805], [-3.649, 1.437, 0.160]], "species": ["C", "C", "Au", "W"], "fractional_positions": [[0.250, 0.250, 0.250], [0.750, 0.750, 0.750], [0.500, 0.500, 0.500], [0.000, 0.000, 0.000]]}